Compound: Y2Mn3O9
Source: Alexandria via LeMat-Bulk
Functional: PBE with a Hubbard U
Structure: optimized geometry

Output
As for the density of states at the Fermi level: 0.758 states/eV/atom. The relative energy among the computed polymorphs comes out at 0.0393 eV/atom.

Cell: 6.0600 6.0600 12.0022 Å, 90.00 90.00 120.00°
Closest atoms and distances in Å follow each position.
Sites, in units of the cell vectors:
Y: 0.0000 0.0000 0.0000  7 O 2.27-2.43
Y: 0.0000 0.0000 0.5000  7 O 2.27-2.43
Y: 0.3333 0.6667 0.4536  6 O 2.26-2.29
Y: 0.6667 0.3333 0.9536  6 O 2.26-2.29
Mn: 0.0061 0.3364 0.7271  5 O 1.85-2.05
Mn: 0.3302 0.9939 0.7271  5 O 1.85-2.05
Mn: 0.3364 0.3302 0.2271  5 O 1.85-2.05
Mn: 0.6636 0.6698 0.7271  5 O 1.85-2.05
Mn: 0.6698 0.0061 0.2271  5 O 1.85-2.05
Mn: 0.9939 0.6636 0.2271  5 O 1.85-2.05
O: 0.0000 0.0000 0.2021  3 Mn 2.04
O: 0.0000 0.0000 0.7021  3 Mn 2.04
O: 0.0191 0.7194 0.3800  1 Mn 1.86
O: 0.0409 0.3716 0.5741  1 Mn 1.85
O: 0.2806 0.2997 0.3800  1 Mn 1.86
O: 0.2997 0.0191 0.8800  1 Mn 1.86
O: 0.3308 0.9591 0.5741  1 Mn 1.85
O: 0.3333 0.6667 0.2399  3 Mn 2.05
O: 0.3333 0.6667 0.7455  3 Mn 2.00
O: 0.3716 0.3308 0.0741  1 Mn 1.85
O: 0.6284 0.6692 0.5741  1 Mn 1.85
O: 0.6667 0.3333 0.2455  3 Mn 2.00
O: 0.6667 0.3333 0.7399  3 Mn 2.05
O: 0.6692 0.0409 0.0741  1 Mn 1.85
O: 0.7003 0.9809 0.3800  1 Mn 1.86
O: 0.7194 0.7003 0.8800  1 Mn 1.86
O: 0.9591 0.6284 0.0741  1 Mn 1.85
O: 0.9809 0.2806 0.8800  1 Mn 1.86